1.
SmThNiIr: relaxed, PBE.

a b c (Å): 4.978 4.978 4.978
angles (deg): 60.00 60.00 60.00
Element x y z (fractional)
Sm 0.000 0.000 0.000
Th 0.500 0.500 0.500
Ni 0.750 0.750 0.750
Ir 0.250 0.250 0.250

Properties
Calculated density ... 12.06 g/cm3
Energy above the most stable polymorph in this dataset ... 165 meV/atom
Space group ... F-43m, No. 216

---

2.
SmTmNiIr: relaxed, PBE.

a b c (Å): 4.089 5.673 5.673
angles (deg): 39.94 90.00 90.00
Element x y z (fractional)
Sm 0.000 0.000 0.000
Tm 0.500 0.284 0.284
Ni 0.500 0.572 0.572
Ir 0.000 0.723 0.723

Properties
Calculated density ... 11.21 g/cm3
Space group ... Amm2, No. 38

---

3.
Sm2Zn3Ni12Ir: relaxed, PBE.

a b c (Å): 9.656 9.656 9.656
angles (deg): 35.44 35.44 35.44
Element x y z (fractional)
Sm 0.147 0.147 0.147
Sm 0.853 0.853 0.853
Zn 0.000 0.500 0.500
Zn 0.500 0.000 0.500
Zn 0.500 0.500 0.000
Ni 0.082 0.082 0.687
Ni 0.082 0.687 0.082
Ni 0.136 0.577 0.577
Ni 0.313 0.918 0.918
Ni 0.423 0.423 0.864
Ni 0.423 0.864 0.423
Ni 0.577 0.136 0.577
Ni 0.577 0.577 0.136
Ni 0.687 0.082 0.082
Ni 0.864 0.423 0.423
Ni 0.918 0.313 0.918
Ni 0.918 0.918 0.313
Ir 0.500 0.500 0.500

Properties
Calculated density ... 8.55 g/cm3
Space group ... R-3m, No. 166

---

4.
SmZn5Ni2Ir: relaxed, PBE.

a b c (Å): 4.630 4.630 6.907
angles (deg): 90.00 90.00 90.00
Element x y z (fractional)
Sm 0.000 0.000 0.000
Zn 0.000 0.500 0.305
Zn 0.000 0.500 0.695
Zn 0.500 0.000 0.305
Zn 0.500 0.000 0.695
Zn 0.500 0.500 0.000
Ni 0.500 0.500 0.334
Ni 0.500 0.500 0.666
Ir 0.000 0.000 0.500

Properties
Calculated density ... 8.83 g/cm3
Space group ... P4/mmm, No. 123

---

5.
SmZn3NiIr: relaxed, PBE.

a b c (Å): 7.011 7.011 5.346
angles (deg): 90.00 90.00 128.22
Element x y z (fractional)
Sm 0.228 0.772 0.750
Sm 0.772 0.228 0.250
Zn 0.204 0.204 0.000
Zn 0.204 0.204 0.500
Zn 0.360 0.640 0.250
Zn 0.640 0.360 0.750
Zn 0.796 0.796 0.000
Zn 0.796 0.796 0.500
Ni 0.438 0.562 0.750
Ni 0.562 0.438 0.250
Ir 0.153 0.847 0.250
Ir 0.847 0.153 0.750

Properties
Calculated density ... 9.61 g/cm3
Space group ... Cmcm, No. 63

---

6.
Ni14SnIr: relaxed, PBE.

a b c (Å): 8.292 5.113 5.113
angles (deg): 60.51 90.00 90.00
Element x y z (fractional)
Ni 0.000 0.000 0.000
Ni 0.000 0.499 0.499
Ni 0.000 0.499 0.999
Ni 0.000 0.999 0.499
Ni 0.239 0.173 0.666
Ni 0.239 0.666 0.173
Ni 0.240 0.664 0.664
Ni 0.245 0.167 0.167
Ni 0.500 0.334 0.836
Ni 0.500 0.836 0.334
Ni 0.755 0.167 0.167
Ni 0.760 0.664 0.664
Ni 0.761 0.173 0.666
Ni 0.761 0.666 0.173
Sn 0.500 0.834 0.834
Ir 0.500 0.335 0.335

Properties
Calculated density ... 9.97 g/cm3
Space group ... Amm2, No. 38

---

7.
Ni2Sn8Ir: relaxed, PBE.

a b c (Å): 5.123 7.583 7.606
angles (deg): 71.15 86.81 86.81
Element x y z (fractional)
Ni 0.000 0.000 0.000
Ni 0.480 0.259 0.257
Sn 0.395 0.459 0.460
Sn 0.410 0.960 0.511
Sn 0.411 0.514 0.959
Sn 0.499 0.037 0.037
Sn 0.962 0.324 0.754
Sn 0.962 0.754 0.323
Sn 0.973 0.221 0.218
Sn 0.975 0.799 0.795
Ir 0.662 0.635 0.634

Properties
Calculated density ... 7.50 g/cm3
Space group ... P1, No. 1

---

8.
NiSn3Ir: relaxed, PBE.

a b c (Å): 5.099 5.099 5.099
angles (deg): 90.00 90.00 90.00
Element x y z (fractional)
Ni 0.000 0.000 0.000
Sn 0.000 0.500 0.500
Sn 0.500 0.000 0.500
Sn 0.500 0.500 0.000
Ir 0.500 0.500 0.500

Properties
Calculated density ... 7.60 g/cm3
Energy above the most stable polymorph in this dataset ... 36 meV/atom
Space group ... Pm-3m, No. 221

---

9.
NiSn2Ir: relaxed, PBE.

a b c (Å): 4.598 4.598 4.598
angles (deg): 60.00 60.00 60.00
Element x y z (fractional)
Ni 0.000 0.000 0.000
Sn 0.250 0.250 0.250
Sn 0.750 0.750 0.750
Ir 0.500 0.500 0.500

Properties
Calculated density ... 11.80 g/cm3
Space group ... Fm-3m, No. 225

---

10.
NiSn6Ir2: relaxed, PBE.

a b c (Å): 6.767 6.637 9.855
angles (deg): 90.00 116.13 90.00
Element x y z (fractional)
Ni 0.000 0.000 0.000
Ni 0.000 0.500 0.500
Sn 0.099 0.014 0.281
Sn 0.099 0.486 0.781
Sn 0.270 0.686 0.089
Sn 0.270 0.814 0.589
Sn 0.387 0.162 0.071
Sn 0.387 0.338 0.571
Sn 0.613 0.662 0.429
Sn 0.613 0.838 0.929
Sn 0.730 0.186 0.411
Sn 0.730 0.314 0.911
Sn 0.901 0.514 0.219
Sn 0.901 0.986 0.719
Ir 0.304 0.131 0.776
Ir 0.304 0.369 0.276
Ir 0.696 0.631 0.724
Ir 0.696 0.869 0.224

Properties
Calculated density ... 9.66 g/cm3
Space group ... P2_1/c, No. 14

---

11.
Ni2SnIr: relaxed, PBE.

a b c (Å): 3.851 3.851 3.796
angles (deg): 90.00 90.00 90.00
Element x y z (fractional)
Ni 0.000 0.500 0.000
Ni 0.500 0.000 0.000
Sn 0.000 0.000 0.500
Ir 0.500 0.500 0.500

Properties
Calculated density ... 12.63 g/cm3
Space group ... P4/mmm, No. 123

---

12.
NiSn6Ir: relaxed, PBE.

a b c (Å): 6.373 6.373 6.186
angles (deg): 101.79 101.79 121.97
Element x y z (fractional)
Ni 0.000 0.000 0.000
Sn 0.049 0.428 0.249
Sn 0.246 0.246 0.755
Sn 0.428 0.049 0.249
Sn 0.572 0.951 0.751
Sn 0.754 0.754 0.245
Sn 0.951 0.572 0.751
Ir 0.500 0.500 0.500

Properties
Calculated density ... 8.27 g/cm3
Space group ... C2/m, No. 12

---

Number 1: Fermi-level density of states 4.27 states/eV/cell, DFT total energy -7.210 eV per atom, M_tot 0.00 μB/cell. Number 2: Fermi-level density of states 2.33 states/eV/cell, DFT total energy -6.590 eV per atom, M_tot 0.00 μB/cell. Number 3: Fermi-level density of states 19.25 states/eV/cell, DFT total energy -4.983 eV per atom, M_tot 0.00 μB/cell. Number 4: Fermi-level density of states 7.80 states/eV/cell, DFT total energy -3.576 eV per atom, M_tot 0.00 μB/cell. Number 5: Fermi-level density of states 3.55 states/eV/cell, DFT total energy -4.139 eV per atom, M_tot 0.00 μB/cell. Number 6: Fermi-level density of states 27.80 states/eV/cell, DFT total energy -5.836 eV per atom, M_tot 8.09 μB/cell. Number 7: Fermi-level density of states 4.90 states/eV/cell, DFT total energy -4.793 eV per atom, M_tot 0.00 μB/cell. Number 8: Fermi-level density of states 5.04 states/eV/cell, DFT total energy -4.757 eV per atom, M_tot 0.00 μB/cell. Number 9: Fermi-level density of states 2.13 states/eV/cell, DFT total energy -5.651 eV per atom, M_tot 0.00 μB/cell. Number 10: Fermi-level density of states 7.22 states/eV/cell, DFT total energy -5.403 eV per atom, M_tot 0.00 μB/cell. Number 11: Fermi-level density of states 5.14 states/eV/cell, DFT total energy -6.213 eV per atom, M_tot 0.00 μB/cell. Number 12: Fermi-level density of states 4.15 states/eV/cell, DFT total energy -4.799 eV per atom, M_tot 0.00 μB/cell.